# 1
A relaxed CaNd12Er2 crystal, computed with GGA-PBE.

The space group is Cmme (No. 67) and the conventional cell measures 7.194, 11.673 and 25.473 Å, with angles of 90.00, 90.00 and 90.00 degrees. The inequivalent atoms are Ca at (0.000, 0.250, 0.000), Nd at (0.000, 0.001, 0.082), Nd at (0.000, 0.024, 0.559), Nd at (0.231, 0.250, 0.416), Nd at (0.249, 0.250, 0.861), Nd at (0.250, 0.000, 0.204), Nd at (0.250, 0.000, 0.328), Er at (0.000, 0.250, 0.271) and Er at (0.000, 0.250, 0.726).

As for the magnetization: 0.00 μB per cell. The final energy is -4.405 eV/atom.

=====

# 2
A relaxed CaP2W crystal, computed with GGA-PBE.

The space group is R3m (No. 160, hexagonal axes) and the conventional cell measures 3.1508, 3.1508 and 24.9087 Å, with angles of 90.00, 90.00 and 120.00 degrees. The inequivalent atoms are Ca at (0.0000, 0.0000, 0.0000), P at (0.0000, 0.0000, 0.4962), P at (0.0000, 0.0000, 0.7598) and W at (0.0000, 0.0000, 0.2290).

As for the magnetization: 0.00 μB per cell. The final energy is -6.156 eV/atom. The energy relative to the lowest polymorph listed for this composition comes out at 849.7 meV per atom.

=====

# 3
A relaxed PrIn2Ru crystal, computed with GGA-PBE.

The space group is P4/mmm (No. 123) and the conventional cell measures 3.382, 3.382 and 7.815 Å, with angles of 90.00, 90.00 and 90.00 degrees. The inequivalent atoms are Pr at (0.000, 0.000, 0.000), In at (0.500, 0.500, 0.305) and Ru at (0.000, 0.000, 0.500).

As for the magnetization: 0.00 μB per cell. The final energy is -5.055 eV/atom.

=====

# 4
A relaxed TaMn2Be crystal, computed with GGA-PBE.

The space group is Imm2 (No. 44) and the conventional cell measures 2.931, 4.077 and 8.248 Å, with angles of 90.00, 90.00 and 90.00 degrees. The inequivalent atoms are Ta at (0.000, 0.000, 0.000), Mn at (0.000, 0.000, 0.506), Mn at (0.000, 0.500, 0.240) and Be at (0.000, 0.500, 0.772).

As for the magnetization: 2.57 μB per cell. The final energy is -8.476 eV/atom.

=====

# 5
A relaxed CrAsP3 crystal, computed with GGA-PBE.

The space group is Pm-3m (No. 221) and the conventional cell measures 4.446, 4.446 and 4.446 Å, with angles of 90.00, 90.00 and 90.00 degrees. The inequivalent atoms are Cr at (0.000, 0.000, 0.000), As at (0.500, 0.500, 0.500) and P at (0.000, 0.000, 0.500).

As for the magnetization: 0.66 μB per cell. The final energy is -5.530 eV/atom. The energy relative to the lowest polymorph listed for this composition comes out at 0.0 meV per atom.

=====

# 6
A relaxed Na2Sc crystal, computed with GGA-PBE.

The space group is P-1 (No. 2) and the conventional cell measures 3.361, 3.361 and 9.298 Å, with angles of 80.30, 80.22 and 60.60 degrees. The inequivalent atoms are Na at (0.237, 0.243, 0.321) and Sc at (0.000, 0.000, 0.000).

As for the magnetization: 0.56 μB per cell. The final energy is -2.736 eV/atom. The energy relative to the lowest polymorph listed for this composition comes out at 1.3 meV per atom.

=====

# 7
A relaxed ZrTcCl2 crystal, computed with GGA-PBE.

The space group is P4/mmm (No. 123) and the conventional cell measures 3.090, 3.090 and 10.487 Å, with angles of 90.00, 90.00 and 90.00 degrees. The inequivalent atoms are Zr at (0.000, 0.000, 0.000), Tc at (0.000, 0.000, 0.500) and Cl at (0.500, 0.500, 0.152).

As for the magnetization: 3.77 μB per cell. The final energy is -5.552 eV/atom. The energy relative to the lowest polymorph listed for this composition comes out at 655.0 meV per atom. The energy relative to the elements, uncorrected is 0.10 eV/atom.

=====

# 8
A relaxed ThMgIr2 crystal, computed with GGA-PBE.

The space group is P4/mmm (No. 123) and the conventional cell measures 4.511, 4.511 and 3.782 Å, with angles of 90.00, 90.00 and 90.00 degrees. The inequivalent atoms are Th at (0.000, 0.000, 0.000), Mg at (0.500, 0.500, 0.000) and Ir at (0.000, 0.500, 0.500).

As for the magnetization: 0.00 μB per cell. The final energy is -7.326 eV/atom.